A relaxed structure of Na3Tl5In2. Source: the Alexandria database, functional PBE.

POSCAR file:
```
Na3Tl5In2
1.0
-6.6297 7.1833 3.4095
6.6297 -7.1833 3.4095
6.6297 7.1833 -3.4095
Na Tl In
6 10 4
direct
0.2437 0.6187 0.8624 Na
0.2500 0.2500 0.0000 Na
0.2563 0.1187 0.3749 Na
0.7437 0.8813 0.6251 Na
0.7500 0.7500 0.0000 Na
0.7563 0.3813 0.1376 Na
0.1470 0.3620 0.5090 Tl
0.2500 0.0107 0.7607 Tl
0.2500 0.4893 0.2393 Tl
0.2500 0.7500 0.5000 Tl
0.3530 0.8620 0.2150 Tl
0.6470 0.1380 0.7850 Tl
0.7500 0.2500 0.5000 Tl
0.7500 0.5107 0.7607 Tl
0.7500 0.9893 0.2393 Tl
0.8530 0.6380 0.4910 Tl
0.1490 0.8771 0.0261 In
0.3510 0.3771 0.7280 In
0.6490 0.6229 0.2720 In
0.8510 0.1229 0.9739 In
```

Computed properties:
Its formation energy from the elements is 0.024 eV per atom. The value obtained for the total energy is -42.1 eV per cell. The calculation puts the energy above the lowest structure with this stoichiometry at 0.0075 eV per atom.